Record 1
## AcLa3NdEr (PBE)

Data for a relaxed structure of AcLa3NdEr.

a = 21.1495 Å, b = 5.9837 Å, c = 7.1121 Å
α = 90.00°, β = 91.41°, γ = 90.00°
Closest atoms and distances in Å follow each position.
Space group C2/m (No. 12)
Asymmetric unit:
1 Ac 0.1489 0.0000 0.0322 [4 per cell]  1 Er 3.28, 4 La 3.44-3.63
2 La 0.0148 0.0000 0.7471 [4 per cell]  1 Er 3.26, 2 Nd 3.36, 1 Ac 3.44, 1 La 3.56
3 La 0.1592 0.5000 0.7474 [4 per cell]  2 Er 3.52, 1 La 3.56, 2 Ac 3.62, 1 Nd 3.90
4 La 0.2187 0.5000 0.2836 [4 per cell]  1 Er 3.34, 1 Nd 3.41, 1 La 3.56, 1 Ac 3.63
5 Nd 0.0574 0.5000 0.2829 [4 per cell]  3 La 3.36-3.41, 2 Er 3.76
6 Er 0.1407 0.0000 0.4924 [4 per cell]  4 La 3.26-3.52, 1 Ac 3.28

Summary:
VASP energy = -4.54 eV/atom
total moment = 0.00 μB/f.u.



Record 2
## AcLaNd5Er2 (PBE)

Data for a relaxed structure of AcLaNd5Er2.

a = 5.6667 Å, b = 24.1341 Å, c = 9.6278 Å
α = 90.00°, β = 90.00°, γ = 90.00°
Closest atoms and distances in Å follow each position.
Space group Cmc2_1 (No. 36)
Asymmetric unit:
1 Ac 0.0000 0.1030 0.0000 [4 per cell]  5 Nd 3.39-3.75
2 La 0.0000 0.2682 0.6102 [4 per cell]  3 Nd 3.14-3.34
3 Nd 0.0000 0.0253 0.3288 [4 per cell]  3 Nd 3.30-3.61, 2 Ac 3.51-3.68, 2 Er 3.55
4 Nd 0.0000 0.1032 0.6102 [4 per cell]  4 Nd 3.30-3.68, 4 Er 3.52-3.65
5 Nd 0.0000 0.1869 0.3070 [4 per cell]  3 Er 3.42-3.47, 3 La 3.52-3.58, 3 Nd 3.53-3.55, 1 Ac 3.58
6 Nd 0.0000 0.2407 0.9285 [4 per cell]  3 La 3.14-3.34, 1 Ac 3.39
7 Nd 0.0000 0.4940 0.1101 [4 per cell]  2 Er 3.43-3.80, 4 Nd 3.61-3.68
8 Er 0.0000 0.3284 0.2427 [4 per cell]  6 Nd 3.47-3.74, 3 La 3.82-3.89, 1 Er 3.85
9 Er 0.0000 0.3881 0.8723 [4 per cell]  9 Nd 3.42-3.80

Summary:
VASP energy = -4.53 eV/atom
total moment = 0.00 μB/f.u.



Record 3
## AcLa2Nd2Er (PBE)

Data for a relaxed structure of AcLa2Nd2Er.

a = 7.3347 Å, b = 5.8599 Å, c = 10.1822 Å
α = 90.00°, β = 90.00°, γ = 90.00°
Closest atoms and distances in Å follow each position.
Space group Pmma (No. 51)
Asymmetric unit:
1 Ac 0.0000 0.0000 0.0000 [2 per cell]  2 Ac 3.67, 4 Er 3.85, 2 La 3.87, 6 Nd 3.87-3.88
2 La 0.0000 0.5000 0.5000 [2 per cell]  6 La 3.67-3.85, 6 Nd 3.82-3.84, 2 Er 3.86
3 La 0.2500 0.0000 0.3343 [2 per cell]  5 Nd 3.36-3.67
4 Nd 0.2500 0.0000 0.6644 [2 per cell]  3 La 3.36-3.67, 2 Er 3.40
5 Nd 0.2500 0.5000 0.1704 [2 per cell]  2 La 3.37, 3 Er 3.43-3.67
6 Er 0.2500 0.5000 0.8333 [2 per cell]  5 Nd 3.40-3.67

Summary:
VASP energy = -4.63 eV/atom
total moment = 0.00 μB/f.u.



Record 4
## Ac2La5NdEr (PBE)

Data for a relaxed structure of Ac2La5NdEr.

a = 5.6905 Å, b = 22.7111 Å, c = 10.6613 Å
α = 90.00°, β = 90.00°, γ = 90.00°
Closest atoms and distances in Å follow each position.
Space group Cmc2_1 (No. 36)
Asymmetric unit:
1 Ac 0.0000 0.1143 0.0000 [4 per cell]  1 Nd 3.61, 9 La 3.70-3.86, 2 Er 4.01
2 Ac 0.0000 0.1146 0.5274 [4 per cell]  1 Nd 3.61, 9 La 3.71-3.86, 2 Er 4.01
3 La 0.0000 0.0051 0.2636 [4 per cell]  2 Er 3.61, 4 Ac 3.70-3.75, 4 La 3.90
4 La 0.0000 0.2775 0.5738 [4 per cell]  2 La 3.36, 1 Er 3.39, 3 Nd 3.50-3.61, 1 Ac 3.73
5 La 0.0000 0.2771 0.9526 [4 per cell]  2 La 3.36, 1 Er 3.39, 3 Nd 3.49-3.61, 1 Ac 3.73
6 La 0.0000 0.3768 0.2636 [4 per cell]  1 Nd 3.70, 4 Ac 3.80-3.81, 6 La 3.86-4.07
7 La 0.0000 0.4999 0.0138 [4 per cell]  2 Er 3.54, 4 Ac 3.86, 6 La 3.86-3.90
8 Nd 0.0000 0.2139 0.2633 [4 per cell]  7 La 3.49-3.70, 2 Ac 3.61, 2 Er 3.80
9 Er 0.0000 0.3972 0.7636 [4 per cell]  6 La 3.39-3.61

Summary:
VASP energy = -4.59 eV/atom
total moment = 0.00 μB/f.u.



Record 5
## AcLa2Nd5Er (PBE)

Data for a relaxed structure of AcLa2Nd5Er.

a = 5.5802 Å, b = 22.5722 Å, c = 10.5790 Å
α = 90.00°, β = 90.00°, γ = 90.00°
Closest atoms and distances in Å follow each position.
Space group Cmc2_1 (No. 36)
Asymmetric unit:
1 Ac 0.0000 0.1006 0.0000 [4 per cell]  6 Nd 3.44-3.64
2 La 0.0000 0.3816 0.7603 [4 per cell]  1 Er 3.59, 9 Nd 3.63-3.89, 2 Ac 3.94
3 La 0.0000 0.3826 0.2393 [4 per cell]  1 Er 3.58, 9 Nd 3.62-3.87, 2 Ac 3.94
4 Nd 0.0000 0.0000 0.2498 [4 per cell]  2 Ac 3.48-3.49, 6 Nd 3.79-3.85, 4 La 3.85-3.86
5 Nd 0.0000 0.1205 0.4995 [4 per cell]  1 Er 3.61, 4 La 3.77, 6 Nd 3.79-3.99
6 Nd 0.0000 0.2222 0.8045 [4 per cell]  2 Nd 3.27, 1 Ac 3.44, 3 Er 3.47-3.49, 1 La 3.63
7 Nd 0.0000 0.2233 0.1925 [4 per cell]  2 Nd 3.27, 1 Ac 3.44, 3 Er 3.46-3.49, 1 La 3.63
8 Nd 0.0000 0.4969 0.9995 [4 per cell]  4 La 3.62-3.89, 2 Ac 3.64, 6 Nd 3.84-3.85
9 Er 0.0000 0.2806 0.4988 [4 per cell]  7 Nd 3.46-3.61, 2 La 3.58-3.59, 2 Ac 3.87

Summary:
VASP energy = -4.57 eV/atom
total moment = 0.00 μB/f.u.



Record 6
## Ac2LaNd5Er (PBE)

Data for a relaxed structure of Ac2LaNd5Er.

a = 5.8876 Å, b = 20.6951 Å, c = 11.0229 Å
α = 90.00°, β = 90.00°, γ = 90.00°
Closest atoms and distances in Å follow each position.
Space group Cmc2_1 (No. 36)
Asymmetric unit:
1 Ac 0.0000 0.1148 0.0000 [4 per cell]  9 Nd 3.59-3.99, 1 Er 3.61, 2 La 3.95
2 Ac 0.0000 0.1164 0.5866 [4 per cell]  8 Nd 3.42-3.71
3 La 0.0000 0.4119 0.7341 [4 per cell]  5 Nd 3.16-3.42
4 Nd 0.0000 0.0185 0.2911 [4 per cell]  2 La 3.34, 2 Ac 3.59
5 Nd 0.0000 0.2816 0.5842 [4 per cell]  1 La 3.16, 1 Ac 3.42
6 Nd 0.0000 0.2949 0.9752 [4 per cell]  4 Nd 3.55-3.96, 1 La 3.60, 3 Er 3.65-3.83, 3 Ac 3.68-3.74
7 Nd 0.0000 0.3847 0.2884 [4 per cell]  6 Nd 3.65-4.04, 4 Ac 3.69-3.76, 1 Er 3.70
8 Nd 0.0000 0.4850 0.0121 [4 per cell]  2 La 3.25-3.42
9 Er 0.0000 0.2058 0.2796 [4 per cell]  2 Ac 3.61-3.86, 8 Nd 3.65-3.88, 2 La 3.85

Summary:
VASP energy = -4.48 eV/atom
total moment = 0.00 μB/f.u.



Record 7
## AcLaNd2Er (PBE)

Data for a relaxed structure of AcLaNd2Er.

a = 8.5577 Å, b = 12.1448 Å, c = 7.3852 Å
α = 90.00°, β = 90.00°, γ = 90.00°
Closest atoms and distances in Å follow each position.
Space group Cmcm (No. 63)
Asymmetric unit:
1 Ac 0.0000 0.2427 0.2500 [4 per cell]  1 La 3.26
2 La 0.0000 0.4885 0.7500 [4 per cell]  4 Nd 3.25, 1 Ac 3.26, 1 Er 3.37
3 Nd 0.1872 0.0000 0.0000 [8 per cell]  1 Nd 3.20, 2 La 3.25, 2 Er 3.54
4 Er 0.0000 0.2111 0.7500 [4 per cell]  1 La 3.37, 4 Nd 3.54, 2 Ac 3.71

Summary:
VASP energy = -4.29 eV/atom
total moment = 0.00 μB/f.u.



Record 8
## Ac5LaNd2Er (PBE)

Data for a relaxed structure of Ac5LaNd2Er.

a = 8.3981 Å, b = 8.3981 Å, c = 21.3000 Å
α = 90.00°, β = 90.00°, γ = 90.00°
Closest atoms and distances in Å follow each position.
Space group I4/mcm (No. 140)
Asymmetric unit:
1 Ac 0.0000 0.0000 0.0000 [4 per cell]  4 Nd 3.33
2 Ac 0.2166 0.2834 0.1332 [16 per cell]  1 Nd 3.42, 1 Er 3.58
3 La 0.0000 0.0000 0.2500 [4 per cell]  8 Ac 3.89, 4 Er 4.20
4 Nd 0.1225 0.3775 0.5000 [8 per cell]  1 Nd 2.91
5 Er 0.0000 0.5000 0.2500 [4 per cell]  4 Ac 3.58

Summary:
VASP energy = -4.11 eV/atom
total moment = 0.00 μB/f.u.



Number 1: energy of formation from the pure elements 0.17 eV/atom. Number 2: energy of formation from the pure elements 0.14 eV/atom. Number 3: energy of formation from the pure elements 0.05 eV/atom. Number 4: energy of formation from the pure elements 0.10 eV/atom. Number 5: energy of formation from the pure elements 0.14 eV/atom. Number 6: energy of formation from the pure elements 0.13 eV/atom. Number 7: energy of formation from the pure elements 0.34 eV/atom. Number 8: energy of formation from the pure elements 0.28 eV/atom.